The following is a DFT calculation (GGA-PBEsol) of a relaxed TlAs2Ru crystal.

Cell lengths 4.242, 4.242, 4.981 Å; angles 115.20, 115.20, 90.00 degrees
Fractional coordinates of all 4 atoms:
Ru 0.500 0.500 0.000
Tl 0.250 0.750 0.500
As 0.000 0.000 0.000
As 0.750 0.250 0.500

Values from the calculation:
DOS(E_F): 0.753 states/eV/atom
space group: No. 119
energy of formation from the pure elements: 0.574 eV/atom

The following is a DFT calculation (GGA-PBEsol) of a relaxed ZrTl2Cl crystal.

Cell lengths 3.433, 3.433, 9.378 Å; angles 79.45, 79.45, 60.00 degrees
Fractional coordinates of all 4 atoms:
Tl 0.251 0.251 0.248
Tl 0.749 0.749 0.752
Zr 0.500 0.500 0.500
Cl 0.000 0.000 0.000

Values from the calculation:
DOS(E_F): 0.577 states/eV/atom
uncorrected formation energy: -0.1439 eV per atom
distance to the lowest polymorph of the same formula: 456 meV per atom
space group: No. 166

The following is a DFT calculation (GGA-PBEsol) of a relaxed RbNi2HgB crystal.

Cell lengths 4.043, 4.043, 5.690 Å; angles 90.00, 90.00, 90.00 degrees
Fractional coordinates of all 5 atoms:
Ni 0.000 0.500 0.000
Ni 0.500 0.000 0.000
B 0.000 0.000 0.000
Hg 0.500 0.500 0.500
Rb 0.000 0.000 0.500

Values from the calculation:
DOS(E_F): 0.330 states/eV/atom
space group: No. 123
energy of formation from the pure elements: 0.717 eV/atom

The following is a DFT calculation (GGA-PBEsol) of a relaxed V5O12 crystal.

Cell lengths 8.906, 8.932, 12.574 Å; angles 90.00, 90.01, 90.00 degrees
Fractional coordinates of all 68 atoms:
V 0.746 0.026 0.125
V 0.754 0.526 0.375
V 0.754 0.974 0.625
V 0.746 0.474 0.875
V 0.254 0.526 0.125
V 0.246 0.026 0.375
V 0.246 0.474 0.625
V 0.254 0.974 0.875
V 0.976 0.250 0.500
V 0.893 0.385 0.140
V 0.893 0.115 0.860
V 0.607 0.885 0.360
V 0.607 0.615 0.640
V 0.524 0.750 0.000
V 0.476 0.250 0.000
V 0.393 0.385 0.360
V 0.393 0.115 0.640
V 0.107 0.885 0.140
V 0.107 0.615 0.860
V 0.024 0.750 0.500
O 0.915 0.843 0.588
O 0.916 0.913 0.141
O 0.915 0.657 0.412
O 0.916 0.587 0.859
O 0.861 0.372 0.431
O 0.856 0.200 0.161
O 0.820 0.437 0.024
O 0.817 0.004 0.757
O 0.856 0.300 0.838
O 0.861 0.128 0.569
O 0.816 0.496 0.243
O 0.684 0.996 0.257
O 0.819 0.063 0.975
O 0.681 0.563 0.525
O 0.639 0.628 0.931
O 0.644 0.800 0.662
O 0.680 0.937 0.476
O 0.683 0.504 0.743
O 0.644 0.700 0.339
O 0.639 0.872 0.069
O 0.585 0.157 0.088
O 0.584 0.413 0.359
O 0.584 0.087 0.641
O 0.585 0.343 0.912
O 0.415 0.657 0.088
O 0.416 0.913 0.359
O 0.416 0.587 0.641
O 0.415 0.843 0.912
O 0.361 0.128 0.931
O 0.356 0.300 0.661
O 0.317 0.496 0.257
O 0.320 0.063 0.524
O 0.356 0.200 0.338
O 0.361 0.372 0.069
O 0.319 0.437 0.475
O 0.181 0.937 0.025
O 0.316 0.004 0.743
O 0.184 0.504 0.757
O 0.139 0.872 0.431
O 0.144 0.700 0.162
O 0.183 0.996 0.243
O 0.180 0.563 0.976
O 0.144 0.800 0.839
O 0.139 0.628 0.569
O 0.084 0.413 0.141
O 0.085 0.343 0.588
O 0.084 0.087 0.859
O 0.085 0.157 0.412

Values from the calculation:
DOS(E_F): 0.291 states/eV/atom
uncorrected formation energy: -2.2935 eV per atom
distance to the lowest polymorph of the same formula: 0 meV per atom
space group: No. 60

The following is a DFT calculation (GGA-PBEsol) of a relaxed HgAs2Ir crystal.

Cell lengths 2.912, 4.756, 6.112 Å; angles 112.90, 103.78, 90.00 degrees
Fractional coordinates of all 4 atoms:
As 0.693 0.693 0.385
As 0.307 0.307 0.615
Ir 0.000 0.500 0.000
Hg 0.500 0.000 0.000

Values from the calculation:
DOS(E_F): 0.535 states/eV/atom
space group: No. 71
energy of formation from the pure elements: 0.125 eV/atom

The following is a DFT calculation (GGA-PBEsol) of a relaxed YCrIr crystal.

Cell lengths 4.276, 4.276, 4.276 Å; angles 60.00, 60.00, 60.00 degrees
Fractional coordinates of all 3 atoms:
Cr 0.250 0.250 0.250
Ir 0.000 0.000 0.000
Y 0.500 0.500 0.500

Values from the calculation:
DOS(E_F): 1.418 states/eV/atom
space group: No. 216
energy of formation from the pure elements: 0.349 eV/atom

The following is a DFT calculation (GGA-PBEsol) of a relaxed Ag2Pt crystal.

Cell lengths 5.625, 5.625, 7.498 Å; angles 101.02, 100.48, 120.18 degrees
Fractional coordinates of all 12 atoms:
Ag 0.002 0.998 0.999
Ag 0.332 0.501 0.332
Ag 0.669 0.999 0.669
Ag 0.002 0.504 0.003
Ag 0.499 0.001 0.003
Ag 0.833 0.501 0.334
Ag 0.497 0.497 0.994
Ag 0.832 0.000 0.332
Pt 0.334 0.004 0.339
Pt 0.665 0.495 0.663
Pt 0.168 0.998 0.663
Pt 0.167 0.502 0.669

Values from the calculation:
DOS(E_F): 0.419 states/eV/atom
distance to the lowest polymorph of the same formula: 8 meV per atom
space group: No. 8
energy of formation from the pure elements: 0.000 eV/atom

The following is a DFT calculation (GGA-PBEsol) of a relaxed ScH2 crystal.

Cell lengths 3.325, 3.325, 3.325 Å; angles 60.00, 60.00, 60.00 degrees
Fractional coordinates of all 3 atoms:
Sc 0.000 0.000 0.000
H 0.750 0.750 0.750
H 0.250 0.250 0.250

Values from the calculation:
DOS(E_F): 0.261 states/eV/atom
calculated total energy: -15.39 eV for the cell shown
space group: No. 225

The following is a DFT calculation (GGA-PBEsol) of a relaxed TcSn3Ru crystal.

Cell lengths 5.017, 5.017, 5.017 Å; angles 90.00, 90.00, 90.00 degrees
Fractional coordinates of all 5 atoms:
Ru 0.500 0.500 0.500
Sn 0.000 0.500 0.000
Sn 0.000 0.000 0.500
Sn 0.500 0.000 0.000
Tc 0.000 0.000 0.000

Values from the calculation:
DOS(E_F): 1.526 states/eV/atom
space group: No. 221
energy of formation from the pure elements: 1.106 eV/atom

The following is a DFT calculation (GGA-PBEsol) of a relaxed ZrZnGaB2 crystal.

Cell lengths 4.369, 4.369, 5.211 Å; angles 90.00, 90.00, 90.00 degrees
Fractional coordinates of all 5 atoms:
Zn 0.500 0.500 0.500
B 0.000 0.500 0.000
B 0.500 0.000 0.000
Ga 0.000 0.000 0.500
Zr 0.000 0.000 0.000

Values from the calculation:
DOS(E_F): 0.754 states/eV/atom
space group: No. 123
energy of formation from the pure elements: 1.542 eV/atom

The following is a DFT calculation (GGA-PBEsol) of a relaxed Ba2BMoCl crystal.

Cell lengths 4.219, 5.857, 5.857 Å; angles 90.00, 90.00, 90.00 degrees
Fractional coordinates of all 5 atoms:
Mo 0.500 0.500 0.500
B 0.500 0.000 0.000
Ba 0.000 0.000 0.500
Ba 0.000 0.500 0.000
Cl 0.000 0.000 0.000

Values from the calculation:
DOS(E_F): 0.662 states/eV/atom
uncorrected formation energy: 0.9938 eV per atom
space group: No. 123

The following is a DFT calculation (GGA-PBEsol) of a relaxed Ti2AgPt2 crystal.

Cell lengths 3.758, 3.758, 6.742 Å; angles 106.18, 106.18, 90.00 degrees
Fractional coordinates of all 5 atoms:
Ag 0.000 0.000 0.000
Pt 0.250 0.750 0.500
Pt 0.750 0.250 0.500
Ti 0.393 0.393 0.786
Ti 0.607 0.607 0.214

Values from the calculation:
DOS(E_F): 0.569 states/eV/atom
distance to the lowest polymorph of the same formula: 456 meV per atom
space group: No. 139
energy of formation from the pure elements: -0.222 eV/atom

The following is a DFT calculation (GGA-PBEsol) of a relaxed Tc3Ru crystal.

Cell lengths 4.692, 5.405, 13.058 Å; angles 90.00, 90.00, 90.00 degrees
Fractional coordinates of all 24 atoms:
Ru 0.001 0.500 0.500
Ru 0.334 0.500 0.166
Ru 0.334 0.500 0.834
Ru 0.999 0.000 0.000
Ru 0.666 0.000 0.666
Ru 0.666 0.000 0.334
Tc 0.836 0.749 0.165
Tc 0.836 0.749 0.835
Tc 0.497 0.749 0.500
Tc 0.503 0.751 0.000
Tc 0.164 0.751 0.665
Tc 0.164 0.751 0.335
Tc 0.999 0.500 0.000
Tc 0.667 0.500 0.664
Tc 0.667 0.500 0.336
Tc 0.836 0.251 0.165
Tc 0.836 0.251 0.835
Tc 0.497 0.251 0.500
Tc 0.503 0.249 0.000
Tc 0.164 0.249 0.665
Tc 0.164 0.249 0.335
Tc 0.001 0.000 0.500
Tc 0.333 0.000 0.164
Tc 0.333 0.000 0.836

Values from the calculation:
DOS(E_F): 1.035 states/eV/atom
distance to the lowest polymorph of the same formula: 62 meV per atom
space group: No. 59
energy of formation from the pure elements: 0.011 eV/atom

The following is a DFT calculation (GGA-PBEsol) of a relaxed LiTcRu2 crystal.

Cell lengths 3.586, 3.586, 4.747 Å; angles 112.19, 112.19, 90.00 degrees
Fractional coordinates of all 4 atoms:
Li 0.250 0.750 0.500
Ru 0.000 0.000 0.000
Ru 0.750 0.250 0.500
Tc 0.500 0.500 0.000

Values from the calculation:
DOS(E_F): 0.926 states/eV/atom
distance to the lowest polymorph of the same formula: 99 meV per atom
space group: No. 119
energy of formation from the pure elements: 0.310 eV/atom

The following is a DFT calculation (GGA-PBEsol) of a relaxed SbP2Os crystal.

Cell lengths 4.482, 4.482, 4.482 Å; angles 60.00, 60.00, 60.00 degrees
Fractional coordinates of all 4 atoms:
Os 0.500 0.500 0.500
P 0.000 0.000 0.000
P 0.750 0.750 0.750
Sb 0.250 0.250 0.250

Values from the calculation:
DOS(E_F): 0.433 states/eV/atom
uncorrected formation energy: 0.6790 eV per atom
space group: No. 216

The following is a DFT calculation (GGA-PBEsol) of a relaxed MnGaOs2N crystal.

Cell lengths 4.471, 4.472, 4.472 Å; angles 90.00, 90.00, 90.00 degrees
Fractional coordinates of all 5 atoms:
Mn 0.500 0.000 0.000
Os 0.000 0.000 0.500
Os 0.000 0.500 0.000
Ga 0.000 0.000 0.000
N 0.500 0.500 0.500

Values from the calculation:
DOS(E_F): 1.050 states/eV/atom
uncorrected formation energy: 2.9025 eV per atom
space group: No. 123

The following is a DFT calculation (GGA-PBEsol) of a relaxed TlIn3Ni crystal.

Cell lengths 4.937, 4.937, 4.937 Å; angles 90.00, 90.00, 90.00 degrees
Fractional coordinates of all 5 atoms:
Ni 0.000 0.000 0.000
Tl 0.500 0.500 0.500
In 0.000 0.500 0.000
In 0.000 0.000 0.500
In 0.500 0.000 0.000

Values from the calculation:
DOS(E_F): 0.559 states/eV/atom
space group: No. 221
energy of formation from the pure elements: -0.024 eV/atom

The following is a DFT calculation (GGA-PBEsol) of a relaxed CsKWCl2 crystal.

Cell lengths 6.196, 6.196, 6.512 Å; angles 90.00, 90.00, 90.00 degrees
Fractional coordinates of all 5 atoms:
Cs 0.000 0.000 0.000
K 0.000 0.000 0.500
W 0.500 0.500 0.500
Cl 0.000 0.500 0.000
Cl 0.500 0.000 0.000

Values from the calculation:
DOS(E_F): 1.325 states/eV/atom
uncorrected formation energy: 0.8405 eV per atom
space group: No. 123

The following is a DFT calculation (GGA-PBEsol) of a relaxed ReSeBr2 crystal.

Cell lengths 3.094, 4.573, 5.498 Å; angles 90.00, 90.00, 90.00 degrees
Fractional coordinates of all 4 atoms:
Br 0.000 0.000 0.000
Br 0.500 0.000 0.500
Re 0.500 0.500 0.000
Se 0.000 0.500 0.500

Values from the calculation:
DOS(E_F): 0.842 states/eV/atom
uncorrected formation energy: 1.1704 eV per atom
distance to the lowest polymorph of the same formula: 910 meV per atom
space group: No. 47

The following is a DFT calculation (GGA-PBEsol) of a relaxed Ti3WC4 crystal.

Cell lengths 3.041, 3.041, 10.135 Å; angles 81.37, 81.37, 60.00 degrees
Fractional coordinates of all 8 atoms:
C 0.875 0.875 0.375
C 0.625 0.625 0.126
C 0.375 0.375 0.874
C 0.125 0.125 0.625
W 0.000 0.000 0.000
Ti 0.751 0.751 0.748
Ti 0.500 0.500 0.500
Ti 0.249 0.249 0.252

Values from the calculation:
DOS(E_F): 0.255 states/eV/atom
space group: No. 166
energy of formation from the pure elements: -0.699 eV/atom

The following is a DFT calculation (GGA-PBEsol) of a relaxed InW3 crystal.

Cell lengths 2.773, 5.115, 5.115 Å; angles 113.69, 90.00, 90.00 degrees
Fractional coordinates of all 4 atoms:
In 0.000 0.000 0.000
W 0.500 0.000 0.500
W 0.500 0.500 0.000
W 0.000 0.500 0.500

Values from the calculation:
DOS(E_F): 0.694 states/eV/atom
space group: No. 65
energy of formation from the pure elements: 0.584 eV/atom

The following is a DFT calculation (GGA-PBEsol) of a relaxed B3RhO crystal.

Cell lengths 3.982, 3.982, 3.982 Å; angles 90.00, 90.00, 90.00 degrees
Fractional coordinates of all 5 atoms:
B 0.000 0.500 0.000
B 0.000 0.000 0.500
B 0.500 0.000 0.000
Rh 0.000 0.000 0.000
O 0.500 0.500 0.500

Values from the calculation:
DOS(E_F): 0.984 states/eV/atom
uncorrected formation energy: 1.3312 eV per atom
space group: No. 221

The following is a DFT calculation (GGA-PBEsol) of a relaxed AsPt4Se crystal.

Cell lengths 5.257, 5.257, 5.257 Å; angles 60.00, 60.00, 60.00 degrees
Fractional coordinates of all 6 atoms:
As 0.000 0.000 0.000
Pt 0.375 0.375 0.375
Pt 0.375 0.375 0.876
Pt 0.876 0.375 0.375
Pt 0.375 0.876 0.375
Se 0.750 0.750 0.750

Values from the calculation:
DOS(E_F): 1.026 states/eV/atom
uncorrected formation energy: 0.4062 eV per atom
space group: No. 216